Compound: Ac4SiSbCl2
Source: Alexandria via LeMat-Bulk
Functional: PBE-GGA
Structure: relaxed

The structure in CIF format:
```
data_Ac4SiSbCl2
_chemical_formula_sum 'Ac4 Si1 Sb1 Cl2'
_space_group_name_H-M_alt 'P 1 2/m 1'
_space_group_IT_number 10
_cell_length_a 7.526
_cell_length_b 4.598
_cell_length_c 8.205
_cell_angle_alpha 90.00
_cell_angle_beta 110.37
_cell_angle_gamma 90.00
loop_
_space_group_symop_operation_xyz
'x,y,z'
'-x,-y,-z'
'-x,y,-z'
'x,-y,z'
loop_
_atom_site_label
_atom_site_type_symbol
_atom_site_fract_x
_atom_site_fract_y
_atom_site_fract_z
_atom_site_occupancy
Ac1 Ac 0.237 0.000 0.227 1
Ac2 Ac 0.246 0.500 0.771 1
Si1 Si 0.000 0.500 0.000 1
Sb1 Sb 0.000 0.000 0.500 1
Cl1 Cl 0.500 0.000 0.000 1
Cl2 Cl 0.500 0.500 0.500 1
```

Spin magnetization = 0.00 μB per formula unit
Raw formation energy = -10.06 eV per formula unit

---

Compound: CdTe3Se
Source: Alexandria via LeMat-Bulk
Functional: PBE-GGA
Structure: relaxed

The structure in CIF format:
```
data_CdTe3Se
_chemical_formula_sum 'Cd1 Te3 Se1'
_space_group_name_H-M_alt 'P m -3 m'
_space_group_IT_number 221
_space_group_name_Hall '-P 4 2 3'
_cell_length_a 5.534
_cell_length_b 5.534
_cell_length_c 5.534
_cell_angle_alpha 90.00
_cell_angle_beta 90.00
_cell_angle_gamma 90.00
loop_
_atom_site_label
_atom_site_type_symbol
_atom_site_fract_x
_atom_site_fract_y
_atom_site_fract_z
_atom_site_occupancy
Cd1 Cd 0.000 0.000 0.000 1
Te1 Te 0.000 0.000 0.500 1
Se1 Se 0.500 0.500 0.500 1
```

Spin magnetization = 0.00 μB per formula unit
Raw formation energy = 3.75 eV per formula unit

---

Compound: LaPmTm3
Source: Alexandria via LeMat-Bulk
Functional: PBE-GGA
Structure: relaxed

The structure in CIF format:
```
data_LaPmTm3
_chemical_formula_sum 'La4 Pm4 Tm12'
_space_group_name_H-M_alt 'P 1 21/c 1'
_space_group_IT_number 14
_cell_length_a 8.844
_cell_length_b 7.043
_cell_length_c 10.977
_cell_angle_alpha 90.00
_cell_angle_beta 108.05
_cell_angle_gamma 90.00
loop_
_space_group_symop_operation_xyz
'x,y,z'
'-x,-y,-z'
'-x,y+1/2,-z+1/2'
'x,-y+1/2,z+1/2'
loop_
_atom_site_label
_atom_site_type_symbol
_atom_site_fract_x
_atom_site_fract_y
_atom_site_fract_z
_atom_site_occupancy
La1 La 0.210 0.248 0.053 1
Pm1 Pm 0.396 0.504 0.850 1
Tm1 Tm 0.002 0.000 0.751 1
Tm2 Tm 0.224 0.750 0.056 1
Tm3 Tm 0.398 0.001 0.850 1
```

Spin magnetization = 0.00 μB per formula unit
Energy relative to the elements = 0.058 eV per atom

---

Compound: Ho2MnP3Ir4
Source: Alexandria via LeMat-Bulk
Functional: PBE-GGA
Structure: relaxed

The structure in CIF format:
```
data_Ho2MnP3Ir4
_chemical_formula_sum 'Ho2 Mn1 P3 Ir4'
_space_group_name_H-M_alt 'P -4 m 2'
_space_group_IT_number 115
_cell_length_a 4.044
_cell_length_b 4.044
_cell_length_c 9.904
_cell_angle_alpha 90.00
_cell_angle_beta 90.00
_cell_angle_gamma 90.00
loop_
_space_group_symop_operation_xyz
'x,y,z'
'y,-x,-z'
'-x,-y,z'
'-y,x,-z'
'-x,y,z'
'-y,-x,-z'
'x,-y,z'
'y,x,-z'
loop_
_atom_site_label
_atom_site_type_symbol
_atom_site_fract_x
_atom_site_fract_y
_atom_site_fract_z
_atom_site_occupancy
Ho1 Ho 0.000 0.500 0.249 1
Mn1 Mn 0.500 0.500 0.000 1
P1 P 0.000 0.000 0.000 1
P2 P 0.000 0.500 0.639 1
Ir1 Ir 0.000 0.000 0.500 1
Ir2 Ir 0.000 0.500 0.869 1
Ir3 Ir 0.500 0.500 0.500 1
```

Spin magnetization = 1.70 μB per formula unit
Energy relative to the elements = -0.888 eV per atom

---

Compound: Tb4Ru2Au
Source: Alexandria via LeMat-Bulk
Functional: PBE-GGA
Structure: relaxed

The structure in CIF format:
```
data_Tb4Ru2Au
_chemical_formula_sum 'Tb12 Ru6 Au3'
_space_group_name_H-M_alt 'R -3 m'
_space_group_IT_number 166
_space_group_name_Hall '-R 3 2"'
_cell_length_a 4.8918
_cell_length_b 4.8918
_cell_length_c 23.7422
_cell_angle_alpha 90.00
_cell_angle_beta 90.00
_cell_angle_gamma 120.00
loop_
_atom_site_label
_atom_site_type_symbol
_atom_site_fract_x
_atom_site_fract_y
_atom_site_fract_z
_atom_site_occupancy
Tb1 Tb 0.0000 0.0000 0.1202 1
Tb2 Tb 0.0000 0.0000 0.3713 1
Ru1 Ru 0.0000 0.0000 0.2486 1
Au1 Au 0.0000 0.0000 0.5000 1
```

Spin magnetization = 0.00 μB per formula unit
Energy relative to the elements = -0.450 eV per atom

---

Compound: VRh3I
Source: Alexandria via LeMat-Bulk
Functional: PBE-GGA
Structure: relaxed

The structure in CIF format:
```
data_VRh3I
_chemical_formula_sum 'V1 Rh3 I1'
_space_group_name_H-M_alt 'P m -3 m'
_space_group_IT_number 221
_space_group_name_Hall '-P 4 2 3'
_cell_length_a 4.802
_cell_length_b 4.802
_cell_length_c 4.802
_cell_angle_alpha 90.00
_cell_angle_beta 90.00
_cell_angle_gamma 90.00
loop_
_atom_site_label
_atom_site_type_symbol
_atom_site_fract_x
_atom_site_fract_y
_atom_site_fract_z
_atom_site_occupancy
V1 V 0.000 0.000 0.000 1
Rh1 Rh 0.000 0.500 0.500 1
I1 I 0.500 0.500 0.500 1
```

Spin magnetization = 2.76 μB per formula unit
Raw formation energy = 6.53 eV per formula unit

---

Compound: SnHBr3
Source: Alexandria via LeMat-Bulk
Functional: PBE-GGA
Structure: relaxed

The structure in CIF format:
```
data_SnHBr3
_chemical_formula_sum 'Sn4 H4 Br12'
_space_group_name_H-M_alt 'P 1 21/c 1'
_space_group_IT_number 14
_cell_length_a 8.359
_cell_length_b 7.482
_cell_length_c 11.311
_cell_angle_alpha 90.00
_cell_angle_beta 92.97
_cell_angle_gamma 90.00
loop_
_space_group_symop_operation_xyz
'x,y,z'
'-x,-y,-z'
'-x,y+1/2,-z+1/2'
'x,-y+1/2,z+1/2'
loop_
_atom_site_label
_atom_site_type_symbol
_atom_site_fract_x
_atom_site_fract_y
_atom_site_fract_z
_atom_site_occupancy
Sn1 Sn 0.081 0.246 0.078 1
H1 H 0.429 0.722 0.892 1
Br1 Br 0.076 0.088 0.352 1
Br2 Br 0.217 0.589 0.469 1
Br3 Br 0.463 0.106 0.669 1
```

Raw total energy = -3.02 eV/atom
Spin magnetization = 0.00 μB per formula unit

---

Compound: ZnPb2Se3
Source: Alexandria via LeMat-Bulk
Functional: PBE-GGA
Structure: relaxed

The structure in CIF format:
```
data_ZnPb2Se3
_chemical_formula_sum 'Zn4 Pb8 Se12'
_space_group_name_H-M_alt 'P n m a'
_space_group_IT_number 62
_cell_length_a 8.895
_cell_length_b 4.221
_cell_length_c 17.525
_cell_angle_alpha 90.00
_cell_angle_beta 90.00
_cell_angle_gamma 90.00
loop_
_space_group_symop_operation_xyz
'x,y,z'
'-x,-y,-z'
'-x+1/2,-y,z+1/2'
'x+1/2,y,-z+1/2'
'x+1/2,-y+1/2,-z+1/2'
'-x+1/2,y+1/2,z+1/2'
'-x,y+1/2,-z'
'x,-y+1/2,z'
loop_
_atom_site_label
_atom_site_type_symbol
_atom_site_fract_x
_atom_site_fract_y
_atom_site_fract_z
_atom_site_occupancy
Zn1 Zn 0.136 0.250 0.136 1
Pb1 Pb 0.079 0.250 0.734 1
Pb2 Pb 0.228 0.250 0.471 1
Se1 Se 0.002 0.250 0.901 1
Se2 Se 0.115 0.750 0.571 1
Se3 Se 0.192 0.250 0.275 1
```

Spin magnetization = 0.00 μB per formula unit
Raw formation energy = -3.28 eV per formula unit

---

Compound: Hf4TcAu
Source: Alexandria via LeMat-Bulk
Functional: PBE-GGA
Structure: relaxed

The structure in CIF format:
```
data_Hf4TcAu
_chemical_formula_sum 'Hf4 Tc1 Au1'
_space_group_name_H-M_alt 'P 4/m m m'
_space_group_IT_number 123
_space_group_name_Hall '-P 4 2'
_cell_length_a 3.275
_cell_length_b 3.275
_cell_length_c 11.019
_cell_angle_alpha 90.00
_cell_angle_beta 90.00
_cell_angle_gamma 90.00
loop_
_atom_site_label
_atom_site_type_symbol
_atom_site_fract_x
_atom_site_fract_y
_atom_site_fract_z
_atom_site_occupancy
Hf1 Hf 0.000 0.000 0.144 1
Hf2 Hf 0.500 0.500 0.331 1
Tc1 Tc 0.500 0.500 0.000 1
Au1 Au 0.000 0.000 0.500 1
```

Spin magnetization = 0.00 μB per formula unit
Energy relative to the elements = -0.353 eV per atom

---

Compound: Sb8Ir2Rh
Source: Alexandria via LeMat-Bulk
Functional: PBE-GGA
Structure: relaxed

The structure in CIF format:
```
data_Sb8Ir2Rh
_chemical_formula_sum 'Sb8 Ir2 Rh1'
_space_group_name_H-M_alt 'P -1'
_space_group_IT_number 2
_cell_length_a 5.213
_cell_length_b 7.780
_cell_length_c 7.796
_cell_angle_alpha 69.30
_cell_angle_beta 89.37
_cell_angle_gamma 89.44
loop_
_space_group_symop_operation_xyz
'x,y,z'
'-x,-y,-z'
loop_
_atom_site_label
_atom_site_type_symbol
_atom_site_fract_x
_atom_site_fract_y
_atom_site_fract_z
_atom_site_occupancy
Sb1 Sb 0.191 0.209 0.121 1
Sb2 Sb 0.192 0.621 0.710 1
Sb3 Sb 0.202 0.672 0.172 1
Sb4 Sb 0.249 0.089 0.585 1
Ir1 Ir 0.261 0.874 0.374 1
Rh1 Rh 0.500 0.500 0.000 1
```

Spin magnetization = 0.00 μB per formula unit
Raw formation energy = -0.81 eV per formula unit

---

What is the formula in the eighth record? ZnPb2Se3